# 1
8
Lattice="4.6702 0.0000 0.0000 0.0000 5.6630 -0.1803 0.0000 -2.6689 4.9980" Properties=species:S:1:pos:R:3 comment="GGA-PBE Li6GaAu, relaxed" dos_at_fermi_per_ev_cell=3.7 delta_e_f_ev_per_atom=-0.28 e_tot_ev_per_atom=-2.505 pbc="T T T"
Li 2.3351 5.0204 0.2191
Li 2.3351 2.0758 0.3126
Li 0.0000 0.8582 4.4134
Au 0.0000 -1.9729 4.5654
Li 0.0000 -0.5832 2.0942
Ga 2.3351 0.8006 2.8417
Li 2.3351 3.6329 2.8180
Li 0.0000 2.1423 2.0079

# 2
6
Lattice="3.4865 0.0000 0.0000 0.0000 4.0487 -1.3403 0.0000 -0.0006 6.7834" Properties=species:S:1:pos:R:3 comment="GGA-PBE Li2GaAu3, relaxed" dos_at_fermi_per_ev_cell=1.5 delta_e_f_ev_per_atom=-0.46 relative_energy_mev_per_atom=0 e_tot_ev_per_atom=-3.242 pbc="T T T"
Li 0.0000 2.6982 1.3653
Li 0.0000 1.3500 4.0778
Ga 0.0000 0.0000 0.0000
Au 1.7433 3.3575 3.3569
Au 1.7433 2.0244 -0.6702
Au 1.7433 0.6906 2.0862

# 3
8
Lattice="4.6100 0.0000 0.0000 0.0000 4.6100 0.0000 -2.3050 -2.3050 5.8989" Properties=species:S:1:pos:R:3 comment="GGA-PBE Li5GaAu2, relaxed" dos_at_fermi_per_ev_cell=2.7 delta_e_f_ev_per_atom=-0.39 e_tot_ev_per_atom=-2.784 pbc="T T T"
Au 2.3050 2.3050 2.9865
Li 2.3050 2.3050 0.0000
Au 0.0000 0.0000 2.9124
Li 0.0000 2.3050 1.5521
Li 0.0000 2.3050 4.3468
Li 2.3050 0.0000 4.3468
Li 2.3050 0.0000 1.5521
Ga 0.0000 0.0000 0.0000

# 4
18
Lattice="-5.0594 -1.6385 4.6424 0.4078 -7.0084 0.7420 2.9333 -3.3997 8.7921" Properties=species:S:1:pos:R:3 comment="GGA-PBE LiGa5Au3, relaxed" dos_at_fermi_per_ev_cell=6.0 delta_e_f_ev_per_atom=-0.14 e_tot_ev_per_atom=-3.128 pbc="T T T"
Au 0.4709 -5.2294 7.8597
Au 1.4667 -1.6998 4.3961
Ga -3.4436 -3.2255 3.4897
Ga 1.8326 -5.3866 9.9848
Ga -0.8470 -4.8234 5.4533
Ga -3.5509 -6.6600 4.1918
Au 0.0000 0.0000 0.0000
Ga -1.2080 -5.4214 1.8948
Au -0.8727 -8.7607 10.8381
Li 1.6313 -3.1126 6.5719
Ga 1.6828 -6.1646 5.7573
Au -0.8456 -3.2859 3.3385
Li -3.3496 -8.9340 7.6047
Ga -0.4660 -8.7649 6.3254
Au -2.1892 -6.8172 6.3169
Ga -0.8713 -7.2232 8.7233
Ga -3.4011 -5.8820 8.4193
Ga -1.2523 -3.2817 7.8512

# 5
11
Lattice="3.9115 0.0000 -1.1939 -1.0374 5.9258 -3.3987 0.2790 0.5620 7.9184" Properties=species:S:1:pos:R:3 comment="GGA-PBE Li2Ga2Au7, relaxed" dos_at_fermi_per_ev_cell=2.3 delta_e_f_ev_per_atom=-0.27 relative_energy_mev_per_atom=2 e_tot_ev_per_atom=-3.258 pbc="T T T"
Ga 0.3479 5.8064 1.1397
Au 3.3528 1.5700 3.9801
Au 1.0934 3.1705 3.5822
Au 1.0116 5.3933 -3.6903
Au 2.7431 4.9757 1.9827
Au 0.5825 0.5265 1.9084
Li 1.6363 1.8247 -1.6435
Au 1.8216 4.6774 -1.0365
Au 0.1350 3.0060 0.4422
Li -0.6549 3.7408 -2.1455
Ga 2.5314 2.2458 1.2888

# 6
7
Lattice="4.3253 0.0000 0.0000 -2.1627 4.7071 -0.0112 0.0000 -2.1759 6.1496" Properties=species:S:1:pos:R:3 comment="GGA-PBE Li2Ga3Au2, relaxed" dos_at_fermi_per_ev_cell=1.5 delta_e_f_ev_per_atom=-0.38 e_tot_ev_per_atom=-3.157 pbc="T T T"
Li 0.0000 -0.1788 4.8445
Ga 2.1627 0.0000 0.0000
Ga 2.1627 0.1811 2.8228
Ga 0.0000 2.3500 3.3155
Li 2.1626 2.7100 1.2939
Au 0.0000 0.7685 1.2816
Au 2.1627 1.7627 4.8568

# 7
11
Lattice="-3.2167 -1.4166 2.2942 -1.4388 -2.1186 -3.3255 6.0309 -8.8200 3.0098" Properties=species:S:1:pos:R:3 comment="GGA-PBE Li2Ga8Au, relaxed" dos_at_fermi_per_ev_cell=2.2 delta_e_f_ev_per_atom=-0.18 relative_energy_mev_per_atom=0 e_tot_ev_per_atom=-3.023 pbc="T T T"
Ga -0.4241 -4.5516 0.4344
Ga 1.7996 -7.8036 1.5442
Ga 3.5225 -8.2119 3.7077
Ga 0.1808 -2.3757 -1.2135
Ga 4.4114 -8.5629 0.8979
Ga -0.7082 -2.0247 1.5963
Ga 1.4071 -5.1183 2.6520
Li 4.0417 -5.9108 2.0171
Ga -0.9206 -6.8859 2.1364
Li 1.9893 -2.9092 0.9928
Au 0.0000 0.0000 0.0000

# 8
14
Lattice="-1.6087 -1.6737 6.3371 6.6549 -0.2491 -1.0942 -2.4752 6.2356 -0.7333" Properties=species:S:1:pos:R:3 comment="GGA-PBE Li5Ga8Au, relaxed" dos_at_fermi_per_ev_cell=3.3 delta_e_f_ev_per_atom=-0.19 e_tot_ev_per_atom=-2.840 pbc="T T T"
Ga 3.5637 2.6512 -0.6907
Li 4.2321 -0.4264 4.3628
Ga 4.4263 0.1182 0.0107
Li -2.2799 5.4305 0.9959
Ga 3.2177 4.1503 2.0851
Ga -0.6809 4.5886 3.0448
Ga 2.5014 0.5626 2.4945
Ga 0.2169 1.8800 1.6557
Li 1.8033 0.6370 -0.1358
Ga -2.7188 2.4773 5.2677
Ga -0.2423 0.8234 4.1705
Li -2.0420 2.2810 2.8019
Li 1.3865 2.9846 3.7962
Au 1.0689 4.1338 0.4872